Compound: Li3CeF8
Source: Alexandria
Functional: PBE
Structure: optimized geometry

Computed properties:
total moment = 0.96 Bohr magnetons per cell
crystal system = cubic
total DFT energy (no corrections) = -61.85 eV/cell

a = 5.228 Å, b = 5.228 Å, c = 5.228 Å
α = 90.00°, β = 90.00°, γ = 90.00°
Site moments in Bohr magnetons follow the coordinates.
Sites, in units of the cell vectors:
Li: 0.500 0.500 0.000  0.00
Li: 0.500 0.000 0.500  0.00
Li: 0.000 0.500 0.500  0.00
Ce: 0.000 0.000 0.000  -0.04
F: 0.250 0.250 0.750  0.12
F: 0.250 0.750 0.250  0.12
F: 0.750 0.250 0.250  0.12
F: 0.750 0.750 0.750  0.12
F: 0.750 0.750 0.250  0.12
F: 0.750 0.250 0.750  0.12
F: 0.250 0.750 0.750  0.12
F: 0.250 0.250 0.250  0.12